# 1
DFT (PBE) results for crystalline Zr2CuRh at its relaxed geometry.

total energy = -7.466 eV per atom
ΔH_f (0 K) = -7.61 kcal/mol of atoms

Cell and atoms, written as POSCAR:
```
Zr2CuRh
1.0
5.113 -1.544 0.000
5.113 1.544 0.000
-1.105 0.000 4.541
Zr Cu Rh
2 1 1
direct
0.000 0.000 0.000
0.225 0.225 0.654
0.474 0.474 0.490
0.767 0.767 0.188
```


# 2
DFT (PBE) results for crystalline TaMnCu2 at its relaxed geometry.

excess energy over the best structure of this formula in the dataset = 0.169 eV/atom
total energy = -7.046 eV per atom
ΔH_f (0 K) = 5.95 kcal/mol of atoms

Cell and atoms, written as POSCAR:
```
TaMnCu2
1.0
0.000 3.005 3.005
3.005 0.000 3.005
3.005 3.005 0.000
Ta Mn Cu
1 1 2
direct
0.000 0.000 0.000
0.250 0.250 0.250
0.500 0.500 0.500
0.750 0.750 0.750
```


# 3
DFT (PBE) results for crystalline NpBeGa at its relaxed geometry.

total energy = -6.509 eV per atom
ΔH_f (0 K) = 1.29 kcal/mol of atoms

Cell and atoms, written as POSCAR:
```
NpBeGa
1.0
1.905 1.100 7.495
-1.905 1.100 7.495
0.000 -2.199 7.495
Np Be Ga
2 2 2
direct
0.141 0.141 0.141
0.859 0.859 0.859
0.264 0.264 0.264
0.736 0.736 0.736
0.372 0.372 0.372
0.628 0.628 0.628
```


# 4
DFT (PBE) results for crystalline PrZnAu6 at its relaxed geometry.

total energy = -3.528 eV per atom
ΔH_f (0 K) = -7.22 kcal/mol of atoms

Cell and atoms, written as POSCAR:
```
PrZnAu6
1.0
4.087 0.000 0.000
0.000 4.087 0.000
0.000 0.000 10.080
Pr Zn Au
1 1 6
direct
0.000 0.000 0.000
0.000 0.000 0.500
0.000 0.500 0.330
0.000 0.500 0.670
0.500 0.000 0.330
0.500 0.000 0.670
0.500 0.500 0.134
0.500 0.500 0.866
```


# 5
DFT (PBE) results for crystalline Ca2NiAg at its relaxed geometry.

total energy = -3.051 eV per atom
ΔH_f (0 K) = 2.49 kcal/mol of atoms

Cell and atoms, written as POSCAR:
```
Ca2NiAg
1.0
0.000 3.524 3.524
3.524 0.000 3.524
3.524 3.524 0.000
Ca Ni Ag
2 1 1
direct
0.000 0.000 0.000
0.250 0.250 0.250
0.750 0.750 0.750
0.500 0.500 0.500
```


# 6
DFT (PBE) results for crystalline AcNdPb4 at its relaxed geometry.

excess energy over the best structure of this formula in the dataset = 0.000 eV/atom
total energy = -4.333 eV per atom
ΔH_f (0 K) = -8.80 kcal/mol of atoms

Cell and atoms, written as POSCAR:
```
AcNdPb4
1.0
2.447 -11.711 0.000
2.447 11.711 0.000
0.000 0.000 6.977
Ac Nd Pb
2 2 8
direct
0.223 0.777 0.750
0.777 0.223 0.250
0.074 0.926 0.250
0.926 0.074 0.750
0.075 0.925 0.750
0.352 0.648 0.507
0.352 0.648 0.993
0.500 0.500 0.000
0.500 0.500 0.500
0.648 0.352 0.007
0.648 0.352 0.493
0.925 0.075 0.250
```